{
  "formula": "Pm6Pr5Sc2",
  "functional": "PBE",
  "state": "optimized geometry",
  "spacegroup": "Pbam",
  "final_energy_ev_per_cell": -126.6,
  "ef_ev_per_atom": 0.14,
  "lattice": [[3.554, 0.000, 0.000], [0.000, 10.944, 0.000], [0.000, 0.000, 22.831]],
  "species": ["Pm", "Pm", "Pr", "Pr", "Pm", "Pr", "Pr", "Pm", "Sc", "Pm", "Pm", "Sc", "Pr", "Sc", "Pm", "Pr", "Sc", "Pr", "Pm", "Pm", "Pm", "Pr", "Pr", "Pm", "Pm", "Pr"],
  "frac_coords": [[0.000, 0.530, 0.387], [0.500, 0.336, 0.140], [0.500, 0.500, 0.000], [0.500, 0.167, 0.993], [0.500, 0.664, 0.860], [0.500, 0.587, 0.252], [0.500, 0.413, 0.748], [0.000, 0.140, 0.382], [0.000, 0.837, 0.230], [0.000, 0.860, 0.618], [0.000, 0.470, 0.613], [0.000, 0.663, 0.730], [0.500, 0.833, 0.007], [0.000, 0.337, 0.270], [0.000, 0.030, 0.113], [0.500, 0.000, 0.500], [0.000, 0.163, 0.770], [0.500, 0.333, 0.493], [0.500, 0.836, 0.360], [0.000, 0.970, 0.887], [0.000, 0.640, 0.118], [0.500, 0.913, 0.752], [0.500, 0.667, 0.507], [0.000, 0.360, 0.882], [0.500, 0.164, 0.640], [0.500, 0.087, 0.248]]
}